Computed, not measured: an optimized crystal structure of K2CuIF3 at the PBE level of DFT.

Output
Energy relative to the elements, uncorrected, eV/f.u.: -11.973
Volume, Å³/atom: 23.22
E, Ry/atom: -0.2670

```
K2CuIF3
1.0
5.360 0.000 0.000
0.000 4.420 0.000
-2.680 -2.210 6.860
F Cu I K
3 1 1 2
Cartesian
2.680 2.210 4.857
0.000 0.000 2.004
0.000 2.210 0.000
0.000 0.000 0.000
2.680 0.000 0.000
0.000 0.000 4.505
2.680 2.210 2.356
```

Computed, not measured: an optimized crystal structure of KCu2IF2 at the PBE level of DFT.

Output
Energy relative to the elements, uncorrected, eV/f.u.: -7.638
Volume, Å³/atom: 20.44
E, Ry/atom: -0.2722

```
KCu2IF2
1.0
-1.930 4.373 1.364
-2.647 -2.770 5.133
7.453 2.681 1.951
Cu I F K
4 2 4 2
Cartesian
3.013 2.025 6.852
0.823 0.085 0.918
2.053 4.199 7.530
-0.137 2.258 1.597
-2.826 1.443 4.958
5.702 2.841 3.490
1.960 1.747 1.700
-0.214 3.027 3.576
3.090 1.256 4.872
0.916 2.536 6.748
2.142 4.037 3.672
0.734 0.246 4.776
```

Computed, not measured: an optimized crystal structure of LiCuIF2 at the PBE level of DFT.

Output
Energy relative to the elements, uncorrected, eV/f.u.: -2.712
Volume, Å³/atom: 25.17
E, Ry/atom: -0.2060

```
LiCuIF2
1.0
-2.033 4.746 -0.665
0.536 -0.415 -4.595
-4.755 -2.088 -0.366
I F Li Cu
1 2 1 1
Cartesian
0.000 0.000 0.000
-1.016 2.373 -0.333
-2.377 -1.044 -0.183
-3.126 1.122 -2.813
0.268 -0.207 -2.298
```